Entry 1:
Entry from Alexandria via LeMat-Bulk: a relaxed structure of YTm3Tl2 (PBE-GGA).

```
data_YTm3Tl2
_symmetry_space_group_name_H-M 'P m c 21'
_symmetry_Int_Tables_number 26
_symmetry_space_group_name_Hall 'P 2c -2'
_cell_length_a 5.0207
_cell_length_b 9.8442
_cell_length_c 6.8268
_cell_angle_alpha 90.00
_cell_angle_beta 90.00
_cell_angle_gamma 90.00
loop_
_atom_site_label
_atom_site_fract_x
_atom_site_fract_y
_atom_site_fract_z
_atom_site_occupancy
Y1 0.0000 0.0450 0.0000 1
Tm1 0.0000 0.3125 0.6168 1
Tm2 0.5000 0.1923 0.2848 1
Tm3 0.5000 0.4553 0.9031 1
Tl1 0.0000 0.3696 0.1594 1
Tl2 0.5000 0.1311 0.7408 1
```

The calculation puts the excess energy over the best structure of this formula in the dataset at 0 meV/atom. As for the crystal system: orthorhombic. The formation energy comes out at -0.267 eV/atom.


Entry 2:
Entry from Alexandria via LeMat-Bulk: a relaxed structure of CdHg2Sb (PBE-GGA).

```
data_CdHg2Sb
_symmetry_space_group_name_H-M 'I m m m'
_symmetry_Int_Tables_number 71
_symmetry_space_group_name_Hall '-I 2 2'
_cell_length_a 3.4077
_cell_length_b 5.6453
_cell_length_c 10.6805
_cell_angle_alpha 90.00
_cell_angle_beta 90.00
_cell_angle_gamma 90.00
loop_
_atom_site_label
_atom_site_fract_x
_atom_site_fract_y
_atom_site_fract_z
_atom_site_occupancy
Cd1 0.0000 0.0000 0.0000 1
Hg1 0.0000 0.5000 0.2572 1
Sb1 0.0000 0.0000 0.5000 1
```

The calculation puts the excess energy over the best structure of this formula in the dataset at 84 meV/atom. As for the crystal system: orthorhombic. The raw formation energy is 0.47 eV per formula unit.


Entry 3:
Entry from Alexandria via LeMat-Bulk: a relaxed structure of MoPt2W (PBE-GGA).

```
data_MoPt2W
_symmetry_space_group_name_H-M 'F m -3 m'
_symmetry_Int_Tables_number 225
_symmetry_space_group_name_Hall '-F 4 2 3'
_cell_length_a 6.3627
_cell_length_b 6.3627
_cell_length_c 6.3627
_cell_angle_alpha 90.00
_cell_angle_beta 90.00
_cell_angle_gamma 90.00
loop_
_atom_site_label
_atom_site_fract_x
_atom_site_fract_y
_atom_site_fract_z
_atom_site_occupancy
Mo1 0.0000 0.0000 0.0000 1
Pt1 0.2500 0.2500 0.2500 1
W1 0.0000 0.0000 0.5000 1
```

The calculation puts the excess energy over the best structure of this formula in the dataset at 574 meV/atom. As for the crystal system: cubic. The formation energy comes out at 0.275 eV/atom.


Entry 4:
Entry from Alexandria via LeMat-Bulk: a relaxed structure of Ba2TaTe (PBE-GGA).

```
data_Ba2TaTe
_symmetry_space_group_name_H-M 'R -3 m'
_symmetry_Int_Tables_number 166
_symmetry_space_group_name_Hall '-R 3 2"'
_cell_length_a 4.5257
_cell_length_b 4.5257
_cell_length_c 28.0912
_cell_angle_alpha 90.00
_cell_angle_beta 90.00
_cell_angle_gamma 120.00
loop_
_atom_site_label
_atom_site_fract_x
_atom_site_fract_y
_atom_site_fract_z
_atom_site_occupancy
Ba1 0.0000 0.0000 0.2452 1
Ta1 0.0000 0.0000 0.0000 1
Te1 0.0000 0.0000 0.5000 1
```

As for the crystal system: trigonal. The raw formation energy is 1.36 eV per formula unit.


Entry 5:
Entry from Alexandria via LeMat-Bulk: a relaxed structure of GaI2Br2 (PBE-GGA).

```
data_GaI2Br2
_symmetry_space_group_name_H-M 'P 4/m b m'
_symmetry_Int_Tables_number 127
_symmetry_space_group_name_Hall '-P 4 2ab'
_cell_length_a 8.8916
_cell_length_b 8.8916
_cell_length_c 4.6305
_cell_angle_alpha 90.00
_cell_angle_beta 90.00
_cell_angle_gamma 90.00
loop_
_atom_site_label
_atom_site_fract_x
_atom_site_fract_y
_atom_site_fract_z
_atom_site_occupancy
Ga1 0.0000 0.0000 0.0000 1
I1 0.1098 0.3902 0.0000 1
Br1 0.2090 0.7090 0.5000 1
```

As for the crystal system: tetragonal. The raw formation energy is 0.51 eV per formula unit.


Entry 6:
Entry from Alexandria via LeMat-Bulk: a relaxed structure of PrDy8Tm3 (PBE-GGA).

```
data_PrDy8Tm3
_symmetry_space_group_name_H-M 'I m m m'
_symmetry_Int_Tables_number 71
_symmetry_space_group_name_Hall '-I 2 2'
_cell_length_a 6.4131
_cell_length_b 11.2443
_cell_length_c 11.3469
_cell_angle_alpha 90.00
_cell_angle_beta 90.00
_cell_angle_gamma 90.00
loop_
_atom_site_label
_atom_site_fract_x
_atom_site_fract_y
_atom_site_fract_z
_atom_site_occupancy
Pr1 0.0000 0.0000 0.0000 1
Dy1 0.0000 0.1681 0.2512 1
Dy2 0.2442 0.2608 0.0000 1
Tm1 0.0000 0.0000 0.5000 1
Tm2 0.0000 0.5000 0.2379 1
```

As for the crystal system: orthorhombic. The formation energy comes out at 0.340 eV/atom.


Copy entry 5 word for word.
Entry from Alexandria via LeMat-Bulk: a relaxed structure of GaI2Br2 (PBE-GGA).

```
data_GaI2Br2
_symmetry_space_group_name_H-M 'P 4/m b m'
_symmetry_Int_Tables_number 127
_symmetry_space_group_name_Hall '-P 4 2ab'
_cell_length_a 8.8916
_cell_length_b 8.8916
_cell_length_c 4.6305
_cell_angle_alpha 90.00
_cell_angle_beta 90.00
_cell_angle_gamma 90.00
loop_
_atom_site_label
_atom_site_fract_x
_atom_site_fract_y
_atom_site_fract_z
_atom_site_occupancy
Ga1 0.0000 0.0000 0.0000 1
I1 0.1098 0.3902 0.0000 1
Br1 0.2090 0.7090 0.5000 1
```

As for the crystal system: tetragonal. The raw formation energy is 0.51 eV per formula unit.